This record from Alexandria via LeMat-Bulk describes a relaxed HfTa3As crystal. The functional is GGA-PBE.

Calculated values
The size of the total moment is 0.00 μB per formula unit. The distance to the lowest polymorph of the same formula comes out at 0.000 eV/atom. The calculation puts the total energy at -9.420 eV/atom. The calculation puts the formation enthalpy at 0 K at 3.1 eV per formula unit.

Unit cell a=4.7424 b=4.7424 c=4.7424 alpha=90.00 beta=90.00 gamma=90.00
Closest atoms and distances in Å follow each position.
Space group Pm-3m (No. 221)
Asymmetric unit:
Hf (0.0000, 0.0000, 0.0000)  12 Ta 3.35
Ta (0.0000, 0.5000, 0.5000)  2 As 2.37
As (0.5000, 0.5000, 0.5000)  6 Ta 2.37